# MgSb2Cl (PBE-GGA, optimized geometry)
data_MgSb2Cl
_chemical_formula_sum 'Mg1 Sb2 Cl1'
_symmetry_space_group_name_H-M 'P 1'
_symmetry_Int_Tables_number 1
_symmetry_space_group_name_Hall 'P 1'
_cell_length_a 8.047
_cell_length_b 8.047
_cell_length_c 8.047
_cell_angle_alpha 156.23
_cell_angle_beta 141.91
_cell_angle_gamma 45.39
loop_
_atom_site_label
_atom_site_type_symbol
_atom_site_fract_x
_atom_site_fract_y
_atom_site_fract_z
Mg1 Mg 0.000 0.000 0.000
Sb1 Sb 0.180 0.680 0.500
Sb2 Sb 0.584 0.584 0.000
Cl1 Cl 0.886 0.386 0.500
# * E_form (uncorrected): -0.5116 eV per atom
# * energy relative to the lowest polymorph listed for this composition: 23 meV/atom



# LiBeB4 (PBE-GGA, optimized geometry)
data_LiBeB4
_chemical_formula_sum 'Li4 Be4 B16'
_symmetry_space_group_name_H-M 'P 1'
_symmetry_Int_Tables_number 1
_symmetry_space_group_name_Hall 'P 1'
_cell_length_a 6.677
_cell_length_b 6.677
_cell_length_c 6.677
_cell_angle_alpha 114.22
_cell_angle_beta 114.22
_cell_angle_gamma 100.34
loop_
_atom_site_label
_atom_site_type_symbol
_atom_site_fract_x
_atom_site_fract_y
_atom_site_fract_z
Li1 Li 0.204 0.204 0.000
Li2 Li 0.250 0.750 0.500
Li3 Li 0.750 0.250 0.500
Li4 Li 0.796 0.796 0.000
Be1 Be 0.276 0.500 0.776
Be2 Be 0.500 0.276 0.776
Be3 Be 0.500 0.724 0.224
Be4 Be 0.724 0.500 0.224
B1 B 0.102 0.102 0.515
B2 B 0.102 0.587 0.000
B3 B 0.114 0.287 0.401
B4 B 0.114 0.713 0.828
B5 B 0.287 0.114 0.401
B6 B 0.287 0.886 0.172
B7 B 0.413 0.413 0.515
B8 B 0.413 0.898 0.000
B9 B 0.587 0.102 0.000
B10 B 0.587 0.587 0.485
B11 B 0.713 0.114 0.828
B12 B 0.713 0.886 0.599
B13 B 0.886 0.287 0.172
B14 B 0.886 0.713 0.599
B15 B 0.898 0.413 0.000
B16 B 0.898 0.898 0.485
# * E_form: 57 kJ/mol of formula units



# Hf5Mn4Ir (PBE-GGA, optimized geometry)
data_Hf5Mn4Ir
_chemical_formula_sum 'Hf5 Mn4 Ir1'
_symmetry_space_group_name_H-M 'P 1'
_symmetry_Int_Tables_number 1
_symmetry_space_group_name_Hall 'P 1'
_cell_length_a 3.182
_cell_length_b 3.182
_cell_length_c 15.979
_cell_angle_alpha 90.00
_cell_angle_beta 90.00
_cell_angle_gamma 90.00
loop_
_atom_site_label
_atom_site_type_symbol
_atom_site_fract_x
_atom_site_fract_y
_atom_site_fract_z
Hf1 Hf 0.000 0.000 0.000
Hf2 Hf 0.000 0.000 0.199
Hf3 Hf 0.000 0.000 0.393
Hf4 Hf 0.000 0.000 0.607
Hf5 Hf 0.000 0.000 0.801
Mn1 Mn 0.500 0.500 0.098
Mn2 Mn 0.500 0.500 0.298
Mn3 Mn 0.500 0.500 0.702
Mn4 Mn 0.500 0.500 0.902
Ir1 Ir 0.500 0.500 0.500
# * E_form: -315 kJ/mol of formula units